No. 1
The following is a PBE calculation of a relaxed structure of CaGa2NiIr, from Alexandria via LeMat-Bulk.

Computed properties:
ρ   8.031 g/cm3
Magnetic moment   0.000 Bohr magnetons per cell
Formation energy from the elements   -49.2 kJ per mole of atoms
SG   I-4m2, No. 119
E   -25.25 eV/f.u.
Crystal system   tetragonal
Calculated volume   88.99 Å³/cell

Lattice parameters (Å, degrees): 6.0473 6.0473 6.0473 140.43 140.43 57.20
Closest atoms and distances in Å follow each position.
Fractional coordinates of all 5 atoms:
Ca  0.0000  0.0000  0.0000  8 Ga 3.18, 4 Ni 3.35, 4 Ir 3.35
Ga  0.3764  0.3764  0.0000  2 Ir 2.45, 2 Ni 2.45, 1 Ga 2.63
Ga  0.6236  0.6236  0.0000  2 Ni 2.45, 2 Ir 2.45, 1 Ga 2.63
Ni  0.2500  0.7500  0.5000  4 Ga 2.45
Ir  0.7500  0.2500  0.5000  4 Ga 2.45



No. 2
The following is a PBE calculation of a relaxed structure of Ca2Ga5NiIr2, from Alexandria via LeMat-Bulk.

Computed properties:
ρ   8.062 g/cm3
Magnetic moment   0.000 Bohr magnetons per cell
Formation energy from the elements   -34.2 kJ per mole of atoms
SG   P4/mbm, No. 127
E   -46.19 eV/f.u.
Crystal system   tetragonal
Calculated volume   359.18 Å³/cell

Lattice parameters (Å, degrees): 10.0308 10.0308 3.5698 90.00 90.00 90.00
Closest atoms and distances in Å follow each position.
Fractional coordinates of all 20 atoms:
Ca  0.1788  0.3212  0.0000  3 Ir 2.81-3.08, 2 Ga 3.10
Ca  0.3212  0.8212  0.0000  3 Ir 2.81-3.08, 2 Ga 3.10
Ca  0.6788  0.1788  0.0000  3 Ir 2.81-3.08, 2 Ga 3.10
Ca  0.8212  0.6788  0.0000  3 Ir 2.81-3.08, 2 Ga 3.10
Ga  0.0000  0.5000  0.5000  4 Ir 2.50
Ga  0.0563  0.8112  0.5000  2 Ni 2.66, 2 Ir 2.68, 2 Ga 2.79
Ga  0.1888  0.0563  0.5000  2 Ni 2.66, 2 Ir 2.68, 2 Ga 2.79
Ga  0.3112  0.5563  0.5000  2 Ni 2.66, 2 Ir 2.68, 2 Ga 2.79
Ga  0.4437  0.3112  0.5000  2 Ni 2.66, 2 Ir 2.68, 2 Ga 2.79
Ga  0.5000  0.0000  0.5000  4 Ir 2.50
Ga  0.5563  0.6888  0.5000  2 Ni 2.66, 2 Ir 2.68, 2 Ga 2.79
Ga  0.6888  0.4437  0.5000  2 Ni 2.66, 2 Ir 2.68, 2 Ga 2.79
Ga  0.8112  0.9437  0.5000  2 Ni 2.66, 2 Ir 2.68, 2 Ga 2.79
Ga  0.9437  0.1888  0.5000  2 Ni 2.66, 2 Ir 2.68, 2 Ga 2.79
Ni  0.0000  0.0000  0.0000  8 Ga 2.66
Ni  0.5000  0.5000  0.0000  8 Ga 2.66
Ir  0.1232  0.6232  0.0000  6 Ga 2.50-2.68
Ir  0.3768  0.1232  0.0000  6 Ga 2.50-2.68
Ir  0.6232  0.8768  0.0000  6 Ga 2.50-2.68
Ir  0.8768  0.3768  0.0000  6 Ga 2.50-2.68



No. 3
The following is a PBE calculation of a relaxed structure of Ca2Ga5Ni2Ir, from Alexandria via LeMat-Bulk.

Computed properties:
ρ   7.180 g/cm3
Magnetic moment   0.000 Bohr magnetons per cell
Formation energy from the elements   -32.0 kJ per mole of atoms
SG   P4/mbm, No. 127
E   -42.88 eV/f.u.
Crystal system   tetragonal
Calculated volume   341.54 Å³/cell

Lattice parameters (Å, degrees): 9.4572 9.4572 3.8188 90.00 90.00 90.00
Closest atoms and distances in Å follow each position.
Fractional coordinates of all 20 atoms:
Ca  0.1851  0.3149  0.0000  3 Ni 2.74-2.88
Ca  0.3149  0.8149  0.0000  3 Ni 2.74-2.88
Ca  0.6851  0.1851  0.0000  3 Ni 2.74-2.88
Ca  0.8149  0.6851  0.0000  3 Ni 2.74-2.88
Ga  0.0000  0.5000  0.5000  4 Ni 2.41
Ga  0.0517  0.8002  0.5000  2 Ni 2.68, 2 Ir 2.73, 3 Ga 2.76-2.88
Ga  0.1998  0.0517  0.5000  2 Ni 2.68, 2 Ir 2.73, 3 Ga 2.76-2.88
Ga  0.3002  0.5517  0.5000  2 Ni 2.68, 2 Ir 2.73, 3 Ga 2.76-2.88
Ga  0.4483  0.3002  0.5000  2 Ni 2.68, 2 Ir 2.73, 3 Ga 2.76-2.88
Ga  0.5000  0.0000  0.5000  4 Ni 2.41
Ga  0.5517  0.6998  0.5000  2 Ni 2.68, 2 Ir 2.73, 3 Ga 2.76-2.88
Ga  0.6998  0.4483  0.5000  2 Ni 2.68, 2 Ir 2.73, 3 Ga 2.76-2.88
Ga  0.8002  0.9483  0.5000  2 Ni 2.68, 2 Ir 2.73, 3 Ga 2.76-2.88
Ga  0.9483  0.1998  0.5000  2 Ni 2.68, 2 Ir 2.73, 3 Ga 2.76-2.88
Ni  0.1102  0.6102  0.0000  6 Ga 2.41-2.68
Ni  0.3898  0.1102  0.0000  6 Ga 2.41-2.68
Ni  0.6102  0.8898  0.0000  6 Ga 2.41-2.68
Ni  0.8898  0.3898  0.0000  6 Ga 2.41-2.68
Ir  0.0000  0.0000  0.0000  8 Ga 2.73
Ir  0.5000  0.5000  0.0000  8 Ga 2.73



No. 4
The following is a PBE calculation of a relaxed structure of CaNpGa5Ir2, from Alexandria via LeMat-Bulk.

Computed properties:
ρ   9.111 g/cm3
Magnetic moment   4.393 Bohr magnetons per cell
Formation energy from the elements   -16.7 kJ per mole of atoms
SG   P4/mmm, No. 123
E   -49.35 eV/f.u.
Crystal system   tetragonal
Calculated volume   184.11 Å³/cell

Lattice parameters (Å, degrees): 4.8842 4.8842 7.7176 90.00 90.00 90.00
Closest atoms and distances in Å follow each position.
Fractional coordinates of all 9 atoms:
Ca  0.0000  0.0000  0.0000  12 Ga 3.25-3.45
Np  0.0000  0.0000  0.5000  8 Ga 2.98
Ga  0.0000  0.5000  0.2784  2 Ir 2.46
Ga  0.0000  0.5000  0.7216  2 Ir 2.46
Ga  0.5000  0.0000  0.2784  2 Ir 2.46
Ga  0.5000  0.0000  0.7216  2 Ir 2.46
Ga  0.5000  0.5000  0.0000  2 Ir 2.41
Ir  0.5000  0.5000  0.3123  5 Ga 2.41-2.46
Ir  0.5000  0.5000  0.6877  5 Ga 2.41-2.46



No. 5
The following is a PBE calculation of a relaxed structure of CaGa2IrO8, from Alexandria via LeMat-Bulk.

Computed properties:
ρ   6.119 g/cm3
Magnetic moment   0.005 Bohr magnetons per cell
SG   P2/m, No. 10
ΔE_f (raw)   -1.2930 eV per atom
E   -72.10 eV/f.u.
Crystal system   monoclinic
Calculated volume   135.62 Å³/cell

Lattice parameters (Å, degrees): 4.3771 6.4627 4.7945 90.00 90.63 90.00
Closest atoms and distances in Å follow each position.
Fractional coordinates of all 12 atoms:
Ca  0.0000  0.0000  0.0000  6 O 2.30-2.40
Ga  0.5000  0.2606  0.5000  6 O 1.97-2.05
Ga  0.5000  0.7394  0.5000  6 O 1.97-2.05
Ir  0.0000  0.5000  0.0000  6 O 1.91-1.96
O  0.2504  0.0000  0.5562  2 Ga 2.03, 2 O 2.25-2.26
O  0.2522  0.5000  0.6648  1 Ir 1.96, 2 Ga 2.05
O  0.2588  0.2887  0.1518  1 Ir 1.91, 1 Ga 1.97
O  0.2588  0.7113  0.1518  1 Ir 1.91, 1 Ga 1.97
O  0.7412  0.2887  0.8482  1 Ir 1.91, 1 Ga 1.97
O  0.7412  0.7113  0.8482  1 Ir 1.91, 1 Ga 1.97
O  0.7478  0.5000  0.3352  1 Ir 1.96, 2 Ga 2.05
O  0.7496  0.0000  0.4438  2 Ga 2.03, 2 O 2.25-2.26



No. 6
The following is a PBE calculation of a relaxed structure of CaPaGa2Ir2, from Alexandria via LeMat-Bulk.

Computed properties:
ρ   10.597 g/cm3
Magnetic moment   0.000 Bohr magnetons per cell
Formation energy from the elements   -66.3 kJ per mole of atoms
SG   P-3m1, No. 164
E   -39.40 eV/f.u.
Crystal system   trigonal
Calculated volume   124.58 Å³/cell

Lattice parameters (Å, degrees): 4.3549 4.3549 7.5849 90.00 90.00 120.00
Closest atoms and distances in Å follow each position.
Fractional coordinates of all 6 atoms:
Ca  0.0000  0.0000  0.0000  6 Ga 3.17, 6 Ir 3.37
Pa  0.0000  0.0000  0.5000  6 Ir 2.95, 6 Ga 3.13
Ga  0.3333  0.6667  0.7451  3 Ir 2.53
Ga  0.6667  0.3333  0.2549  3 Ir 2.53
Ir  0.3333  0.6667  0.2957  3 Ga 2.53
Ir  0.6667  0.3333  0.7043  3 Ga 2.53



No. 7
The following is a PBE calculation of a relaxed structure of Ca2Ga5IrPd2, from Alexandria via LeMat-Bulk.

Computed properties:
ρ   7.476 g/cm3
Magnetic moment   0.000 Bohr magnetons per cell
Formation energy from the elements   -44.9 kJ per mole of atoms
SG   P4/mbm, No. 127
E   -43.04 eV/f.u.
Crystal system   tetragonal
Calculated volume   370.41 Å³/cell

Lattice parameters (Å, degrees): 9.7819 9.7819 3.8711 90.00 90.00 90.00
Closest atoms and distances in Å follow each position.
Fractional coordinates of all 20 atoms:
Ca  0.1845  0.3155  0.0000  3 Pd 2.78-3.01
Ca  0.3155  0.8155  0.0000  3 Pd 2.78-3.01
Ca  0.6845  0.1845  0.0000  3 Pd 2.78-3.01
Ca  0.8155  0.6845  0.0000  3 Pd 2.78-3.01
Ga  0.0000  0.5000  0.5000  4 Pd 2.50
Ga  0.0471  0.8101  0.5000  2 Ga 2.71, 2 Ir 2.72, 2 Pd 2.80
Ga  0.1899  0.0471  0.5000  2 Ga 2.71, 2 Ir 2.72, 2 Pd 2.80
Ga  0.3101  0.5471  0.5000  2 Ga 2.71, 2 Ir 2.72, 2 Pd 2.80
Ga  0.4529  0.3101  0.5000  2 Ga 2.71, 2 Ir 2.72, 2 Pd 2.80
Ga  0.5000  0.0000  0.5000  4 Pd 2.50
Ga  0.5471  0.6899  0.5000  2 Ga 2.71, 2 Ir 2.72, 2 Pd 2.80
Ga  0.6899  0.4529  0.5000  2 Ga 2.71, 2 Ir 2.72, 2 Pd 2.80
Ga  0.8101  0.9529  0.5000  2 Ga 2.71, 2 Ir 2.72, 2 Pd 2.80
Ga  0.9529  0.1899  0.5000  2 Ga 2.71, 2 Ir 2.72, 2 Pd 2.80
Ir  0.0000  0.0000  0.0000  8 Ga 2.72
Ir  0.5000  0.5000  0.0000  8 Ga 2.72
Pd  0.1149  0.6149  0.0000  6 Ga 2.50-2.80, 1 Ca 2.78
Pd  0.3851  0.1149  0.0000  6 Ga 2.50-2.80, 1 Ca 2.78
Pd  0.6149  0.8851  0.0000  6 Ga 2.50-2.80, 1 Ca 2.78
Pd  0.8851  0.3851  0.0000  6 Ga 2.50-2.80, 1 Ca 2.78



No. 8
The following is a PBE calculation of a relaxed structure of Ca2Ga4IrPd3, from Alexandria via LeMat-Bulk.

Computed properties:
ρ   7.569 g/cm3
Magnetic moment   0.000 Bohr magnetons per cell
Formation energy from the elements   -67.5 kJ per mole of atoms
SG   P-4m2, No. 115
E   -47.54 eV/f.u.
Crystal system   tetragonal
Calculated volume   190.98 Å³/cell

Lattice parameters (Å, degrees): 4.2619 4.2619 10.5143 90.00 90.00 90.00
Closest atoms and distances in Å follow each position.
Fractional coordinates of all 10 atoms:
Ca  0.0000  0.5000  0.2403  8 Ga 3.24-3.46, 6 Pd 3.28-3.31, 2 Ir 3.31
Ca  0.5000  0.0000  0.7597  8 Ga 3.24-3.46, 6 Pd 3.28-3.31, 2 Ir 3.31
Ga  0.0000  0.0000  0.5000  4 Pd 2.56
Ga  0.0000  0.5000  0.8736  3 Pd 2.50-2.51, 2 Ir 2.51
Ga  0.5000  0.0000  0.1264  3 Pd 2.50-2.51, 2 Ir 2.51
Ga  0.5000  0.5000  0.5000  4 Pd 2.56
Ir  0.5000  0.5000  0.0000  4 Ga 2.51
Pd  0.0000  0.0000  0.0000  4 Ga 2.51
Pd  0.0000  0.5000  0.6355  5 Ga 2.50-2.56
Pd  0.5000  0.0000  0.3645  5 Ga 2.50-2.56



Copy entry 1 word for word.
The following is a PBE calculation of a relaxed structure of CaGa2NiIr, from Alexandria via LeMat-Bulk.

Computed properties:
ρ   8.031 g/cm3
Magnetic moment   0.000 Bohr magnetons per cell
Formation energy from the elements   -49.2 kJ per mole of atoms
SG   I-4m2, No. 119
E   -25.25 eV/f.u.
Crystal system   tetragonal
Calculated volume   88.99 Å³/cell

Lattice parameters (Å, degrees): 6.0473 6.0473 6.0473 140.43 140.43 57.20
Closest atoms and distances in Å follow each position.
Fractional coordinates of all 5 atoms:
Ca  0.0000  0.0000  0.0000  8 Ga 3.18, 4 Ni 3.35, 4 Ir 3.35
Ga  0.3764  0.3764  0.0000  2 Ir 2.45, 2 Ni 2.45, 1 Ga 2.63
Ga  0.6236  0.6236  0.0000  2 Ni 2.45, 2 Ir 2.45, 1 Ga 2.63
Ni  0.2500  0.7500  0.5000  4 Ga 2.45
Ir  0.7500  0.2500  0.5000  4 Ga 2.45



Which value of calculated volume does entry 8 give?
190.98 Å³/cell



Number 7 is which compound?
Ca2Ga5IrPd2